Density functional theory data (PBE-GGA) for a relaxed structure of BaSn2H.

Values from the calculation:
Calculated total energy   -3.4224 eV/atom
Total magnetization   0.00 μB/f.u.

a = 6.8482 Å, b = 6.8482 Å, c = 9.5543 Å
α = 90.00°, β = 90.00°, γ = 90.00°
Closest atoms and distances in Å follow each position.
Space group I-42d (No. 122)
Inequivalent atoms, fractional coordinates:
Ba  0.0000  0.0000  0.0000 x4  12 Sn 3.88-4.14, 4 Ba 4.17, 4 H 4.17
Sn  0.0220  0.2500  0.6250 x8  2 H 2.09
H  0.0000  0.0000  0.5000 x4  4 Sn 2.09

---

Density functional theory data (PBE-GGA) for a relaxed structure of KLaH2.

Values from the calculation:
Calculated total energy   -2.9214 eV/atom
Total magnetization   0.00 μB/f.u.

a = 6.6657 Å, b = 6.6657 Å, c = 6.6657 Å
α = 90.00°, β = 90.00°, γ = 90.00°
Closest atoms and distances in Å follow each position.
Space group Fm-3m (No. 225)
Inequivalent atoms, fractional coordinates:
K  0.0000  0.0000  0.0000 x4  8 H 2.89
La  0.0000  0.0000  0.5000 x4  8 H 2.89
H  0.2500  0.2500  0.2500 x8  4 La 2.89, 4 K 2.89

---

Density functional theory data (PBE-GGA) for a relaxed structure of AgPt3I.

Values from the calculation:
Calculated total energy   -3.4405 eV/atom
Total magnetization   0.00 μB/f.u.

a = 4.9652 Å, b = 4.9652 Å, c = 4.9652 Å
α = 90.00°, β = 90.00°, γ = 90.00°
Closest atoms and distances in Å follow each position.
Space group Pm-3m (No. 221)
Inequivalent atoms, fractional coordinates:
Ag  0.0000  0.0000  0.0000 x1  12 Pt 3.51
Pt  0.0000  0.5000  0.5000 x3  2 I 2.48
I  0.5000  0.5000  0.5000 x1  6 Pt 2.48

---

Density functional theory data (PBE-GGA) for a relaxed structure of PrSmPb2O8.

Values from the calculation:
Calculated total energy   -6.4207 eV/atom
Total magnetization   2.03 μB/f.u.

a = 5.7049 Å, b = 5.7049 Å, c = 10.8870 Å
α = 90.00°, β = 90.00°, γ = 90.00°
Closest atoms and distances in Å follow each position.
Space group I-4 (No. 82)
Inequivalent atoms, fractional coordinates:
Pr  0.0000  0.0000  0.0000 x2  8 O 2.46-2.49
Sm  0.0000  0.5000  0.2500 x2  8 O 2.43-2.44
Pb  0.0000  0.0000  0.5000 x2  4 O 2.13
Pb  0.0000  0.5000  0.7500 x2  4 O 2.13
O  0.1988  0.2545  0.4017 x8  1 Pb 2.13
O  0.2060  0.7521  0.8453 x8  1 Pb 2.13

---

Density functional theory data (PBE-GGA) for a relaxed structure of K4TmU3Te8.

Values from the calculation:
Calculated total energy   -5.2091 eV/atom
Total magnetization   9.01 μB/f.u.

a = 8.9760 Å, b = 8.9760 Å, c = 24.8895 Å
α = 90.00°, β = 90.00°, γ = 120.00°
Closest atoms and distances in Å follow each position.
Space group R-3m (No. 166, hexagonal axes)
Inequivalent atoms, fractional coordinates:
K  0.0000  0.0000  0.0000 x3  6 Te 3.57
K  0.0000  0.5000  0.0000 x9  6 Te 3.52
Tm  0.0000  0.0000  0.5000 x3  6 Te 3.09
U  0.0000  0.5000  0.5000 x9  6 Te 3.14
Te  0.0000  0.0000  0.2377 x6  3 U 3.14
Te  0.0058  0.5029  0.2368 x18  1 Tm 3.09, 2 U 3.14

---

Density functional theory data (PBE-GGA) for a relaxed structure of ScNb2Al2.

Values from the calculation:
Calculated formation energy   -149 meV per atom
Total magnetization   0.36 μB/f.u.

a = 8.1005 Å, b = 8.1005 Å, c = 2.8676 Å
α = 90.00°, β = 90.00°, γ = 90.00°
Closest atoms and distances in Å follow each position.
Space group P4/mbm (No. 127)
Inequivalent atoms, fractional coordinates:
Sc  0.0000  0.0000  0.0000 x2  2 Sc 2.87
Nb  0.1159  0.3841  0.0000 x4  3 Nb 2.66-2.87, 6 Al 2.75-2.84
Al  0.1796  0.6796  0.5000 x4  6 Nb 2.75-2.84, 2 Al 2.87

---

Density functional theory data (PBE-GGA) for a relaxed structure of Sr2BiSbS6.

Values from the calculation:
Calculated total energy   -4.5285 eV/atom
Total magnetization   0.00 μB/f.u.

a = 6.9919 Å, b = 7.3919 Å, c = 12.2173 Å
α = 90.00°, β = 124.66°, γ = 90.00°
Closest atoms and distances in Å follow each position.
Space group P2_1/c (No. 14)
Inequivalent atoms, fractional coordinates:
Sr  0.2199  0.0864  0.2502 x4  6 S 2.98-3.19
Bi  0.0000  0.0000  0.5000 x2  6 S 2.80-2.81
Sb  0.5000  0.0000  0.0000 x2  6 S 2.54-2.57
S  0.1428  0.1819  0.9400 x4  1 Sb 2.55, 1 Bi 2.81
S  0.2623  0.7071  0.9374 x4  1 Sb 2.57, 1 Bi 2.81
S  0.3860  0.0376  0.7636 x4  1 Sb 2.54, 1 Bi 2.80

---

Density functional theory data (PBE-GGA) for a relaxed structure of MgCoIr.

Values from the calculation:
Calculated formation energy   190 meV per atom
Total magnetization   2.24 μB/f.u.

a = 5.7691 Å, b = 5.7691 Å, c = 5.7691 Å
α = 90.00°, β = 90.00°, γ = 90.00°
Closest atoms and distances in Å follow each position.
Space group F-43m (No. 216)
Inequivalent atoms, fractional coordinates:
Mg  0.0000  0.0000  0.0000 x4  4 Co 2.50
Co  0.2500  0.2500  0.2500 x4  4 Mg 2.50, 4 Ir 2.50
Ir  0.0000  0.0000  0.5000 x4  4 Co 2.50

---

> What is the total magnetization in the first record?

0.00 μB/f.u.